1.
Here is a PBEsol-optimized structure of CdSe3 from the Alexandria database. Energies are from meta-GGA SCAN.

Properties
As for the volume: 20.3 Å³ per atom. As for the raw formation energy: 0.406 eV/atom. The raw total energy comes out at -22.257 eV per atom.

abc: 6.8707 6.8707 6.8707
angles: 90.00 90.00 90.00
Space group Fm-3m (No. 225)
Unique sites:
Cd: 0.0000 0.0000 0.0000 (multiplicity 4)
Se: 0.0000 0.0000 0.5000 (multiplicity 4)
Se: 0.2500 0.2500 0.2500 (multiplicity 8)


2.
Here is a PBEsol-optimized structure of K2CaZnRu from the Alexandria database. Energies are from meta-GGA SCAN.

Properties
As for the volume: 33.2 Å³ per atom. The raw total energy comes out at -14.151 eV per atom.

abc: 5.8275 5.8275 4.8834
angles: 90.00 90.00 90.00
Space group P4/mmm (No. 123)
Unique sites:
K: 0.0000 0.5000 0.0000 (multiplicity 2)
Ca: 0.0000 0.0000 0.5000 (multiplicity 1)
Zn: 0.5000 0.5000 0.0000 (multiplicity 1)
Ru: 0.5000 0.5000 0.5000 (multiplicity 1)


3.
Here is a PBEsol-optimized structure of CdAg2I4 from the Alexandria database. Energies are from meta-GGA SCAN.

Properties
As for the volume: 35.6 Å³ per atom. As for the raw formation energy: -0.400 eV/atom. The raw total energy comes out at -34.702 eV per atom.

abc: 6.3443 6.3443 12.3976
angles: 90.00 90.00 90.00
Space group I-42m (No. 121)
Unique sites:
Cd: 0.0000 0.0000 0.0000 (multiplicity 2)
Ag: 0.0000 0.5000 0.2500 (multiplicity 4)
I: 0.2337 0.2337 0.3824 (multiplicity 8)


4.
Here is a PBEsol-optimized structure of HfNb2Si2 from the Alexandria database. Energies are from meta-GGA SCAN.

Properties
As for the volume: 16.2 Å³ per atom. The value obtained for the energy above the most stable polymorph in this dataset is 0.00 eV per formula unit. As for the raw formation energy: -0.767 eV/atom. The raw total energy comes out at -30.560 eV per atom.

abc: 6.8268 6.8268 3.4662
angles: 90.00 90.00 90.00
Space group P4/mbm (No. 127)
Unique sites:
Hf: 0.0000 0.0000 0.0000 (multiplicity 2)
Nb: 0.1712 0.3288 0.5000 (multiplicity 4)
Si: 0.1253 0.6253 0.0000 (multiplicity 4)


5.
Here is a PBEsol-optimized structure of CoB4O7 from the Alexandria database. Energies are from meta-GGA SCAN.

Properties
As for the volume: 10.2 Å³ per atom. The value obtained for the energy above the most stable polymorph in this dataset is 0.00 eV per formula unit. As for the raw formation energy: -2.390 eV/atom. The raw total energy comes out at -9.943 eV per atom.

abc: 8.2212 8.6426 13.7204
angles: 90.00 90.00 90.00
Space group Pbca (No. 61)
Unique sites:
Co: 0.1061 0.1311 0.1215 (multiplicity 8)
B: 0.0284 0.1451 0.7712 (multiplicity 8)
B: 0.0384 0.5862 0.1689 (multiplicity 8)
B: 0.0915 0.6957 0.5626 (multiplicity 8)
B: 0.1560 0.1400 0.4627 (multiplicity 8)
O: 0.0129 0.1989 0.2489 (multiplicity 8)
O: 0.0324 0.5878 0.6416 (multiplicity 8)
O: 0.0553 0.2406 0.9976 (multiplicity 8)
O: 0.1058 0.0532 0.7067 (multiplicity 8)
O: 0.1076 0.0543 0.3858 (multiplicity 8)
O: 0.1600 0.6673 0.1093 (multiplicity 8)
O: 0.1969 0.6090 0.5030 (multiplicity 8)


6.
Here is a PBEsol-optimized structure of SrTl2Au from the Alexandria database. Energies are from meta-GGA SCAN.

Properties
As for the volume: 26.6 Å³ per atom. The raw total energy comes out at -59.483 eV per atom.

abc: 3.8794 5.4339 10.1071
angles: 90.00 90.00 90.00
Space group Immm (No. 71)
Unique sites:
Sr: 0.0000 0.0000 0.0000 (multiplicity 2)
Tl: 0.0000 0.5000 0.2176 (multiplicity 4)
Au: 0.0000 0.0000 0.5000 (multiplicity 2)


7.
Here is a PBEsol-optimized structure of Li2InTcS from the Alexandria database. Energies are from meta-GGA SCAN.

Properties
As for the volume: 16.7 Å³ per atom. As for the raw formation energy: -0.230 eV/atom. The raw total energy comes out at -16.801 eV per atom.

abc: 4.3552 4.3552 4.4070
angles: 90.00 90.00 90.00
Space group P4/mmm (No. 123)
Unique sites:
Li: 0.0000 0.5000 0.0000 (multiplicity 2)
In: 0.0000 0.0000 0.5000 (multiplicity 1)
Tc: 0.5000 0.5000 0.5000 (multiplicity 1)
S: 0.5000 0.5000 0.0000 (multiplicity 1)


8.
Here is a PBEsol-optimized structure of YSi2Cl from the Alexandria database. Energies are from meta-GGA SCAN.

Properties
As for the volume: 21.2 Å³ per atom. The value obtained for the energy above the most stable polymorph in this dataset is 0.00 eV per formula unit. As for the raw formation energy: -0.374 eV/atom. The raw total energy comes out at -14.337 eV per atom.

abc: 4.0624 4.0624 5.1288
angles: 90.00 90.00 90.00
Space group P4/mmm (No. 123)
Unique sites:
Y: 0.0000 0.0000 0.0000 (multiplicity 1)
Si: 0.5000 0.5000 0.2227 (multiplicity 2)
Cl: 0.0000 0.0000 0.5000 (multiplicity 1)


9.
Here is a PBEsol-optimized structure of InRhW3 from the Alexandria database. Energies are from meta-GGA SCAN.

Properties
As for the volume: 20.3 Å³ per atom. The raw total energy comes out at -53.299 eV per atom.

abc: 4.6684 4.6684 4.6684
angles: 90.00 90.00 90.00
Space group Pm-3m (No. 221)
Unique sites:
In: 0.0000 0.0000 0.0000 (multiplicity 1)
Rh: 0.5000 0.5000 0.5000 (multiplicity 1)
W: 0.0000 0.5000 0.5000 (multiplicity 3)


10.
Here is a PBEsol-optimized structure of Si2PBr from the Alexandria database. Energies are from meta-GGA SCAN.

Properties
As for the volume: 17.0 Å³ per atom. The value obtained for the energy above the most stable polymorph in this dataset is 3.03 eV per formula unit. As for the raw formation energy: 0.876 eV/atom. The raw total energy comes out at -11.597 eV per atom.

abc: 6.4828 6.4828 6.4828
angles: 90.00 90.00 90.00
Space group Fm-3m (No. 225)
Unique sites:
Si: 0.2500 0.2500 0.2500 (multiplicity 8)
P: 0.0000 0.0000 0.0000 (multiplicity 4)
Br: 0.0000 0.0000 0.5000 (multiplicity 4)


11.
Here is a PBEsol-optimized structure of Os2RuCl from the Alexandria database. Energies are from meta-GGA SCAN.

Properties
As for the volume: 14.1 Å³ per atom. The value obtained for the energy above the most stable polymorph in this dataset is 0.70 eV per formula unit. As for the raw formation energy: 0.700 eV/atom. The raw total energy comes out at -45.941 eV per atom.

abc: 2.7728 2.7728 7.3369
angles: 90.00 90.00 90.00
Space group P4mm (No. 99)
Unique sites:
Os: 0.0000 0.0000 0.0000 (multiplicity 1)
Os: 0.5000 0.5000 0.2416 (multiplicity 1)
Ru: 0.0000 0.0000 0.4900 (multiplicity 1)
Cl: 0.5000 0.5000 0.7333 (multiplicity 1)


12.
Here is a PBEsol-optimized structure of MnNiHg2 from the Alexandria database. Energies are from meta-GGA SCAN.

Properties
As for the volume: 15.9 Å³ per atom. The value obtained for the energy above the most stable polymorph in this dataset is 0.00 eV per formula unit. The raw total energy comes out at -42.555 eV per atom.

abc: 4.3711 4.3711 3.3391
angles: 90.00 90.00 90.00
Space group P4/mmm (No. 123)
Unique sites:
Mn: 0.0000 0.0000 0.0000 (multiplicity 1)
Ni: 0.5000 0.5000 0.0000 (multiplicity 1)
Hg: 0.0000 0.5000 0.5000 (multiplicity 2)